# 1
# NbCuPd14 | the Alexandria database | GGA-PBE | relaxed
data_NbCuPd14
_chemical_formula_sum 'Nb1 Cu1 Pd14'
_cell_length_a 5.6220
_cell_length_b 5.6220
_cell_length_c 7.7878
_cell_angle_alpha 90.00
_cell_angle_beta 90.00
_cell_angle_gamma 90.00
_space_group_name_H-M_alt 'P 4/m m m'
_space_group_IT_number 123
_space_group_name_Hall '-P 4 2'
loop_
_atom_site_label
_atom_site_fract_x
_atom_site_fract_y
_atom_site_fract_z
Nb1 0.0000 0.0000 0.0000
Cu1 0.5000 0.5000 0.0000
Pd1 0.0000 0.0000 0.5000
Pd2 0.0000 0.5000 0.0000
Pd3 0.0000 0.5000 0.5000
Pd4 0.2491 0.2491 0.2433
Pd5 0.5000 0.5000 0.5000
# DFT formation energy: -3.3 kcal/mol of atoms

# 2
# NaGe6Te8 | the Alexandria database | GGA-PBE | relaxed
data_NaGe6Te8
_chemical_formula_sum 'Na1 Ge6 Te8'
_cell_length_a 10.8491
_cell_length_b 10.8491
_cell_length_c 4.3259
_cell_angle_alpha 90.00
_cell_angle_beta 90.00
_cell_angle_gamma 120.00
_space_group_name_H-M_alt 'P -3'
_space_group_IT_number 147
_space_group_name_Hall '-P 3'
loop_
_atom_site_label
_atom_site_fract_x
_atom_site_fract_y
_atom_site_fract_z
Na1 0.0000 0.0000 0.0000
Ge1 0.1354 0.4800 0.7569
Te1 0.0323 0.6963 0.7489
Te2 0.3333 0.6667 0.2488
# formation energy (no corrections): -91 meV per atom
# distance to the lowest polymorph of the same formula: 0.000 eV per atom

# 3
# BeGeP2 | the Alexandria database | GGA-PBE | relaxed
data_BeGeP2
_chemical_formula_sum 'Be4 Ge4 P8'
_cell_length_a 6.1537
_cell_length_b 6.1537
_cell_length_c 6.1537
_cell_angle_alpha 90.00
_cell_angle_beta 90.00
_cell_angle_gamma 90.00
_space_group_name_H-M_alt 'F m -3 m'
_space_group_IT_number 225
_space_group_name_Hall '-F 4 2 3'
loop_
_atom_site_label
_atom_site_fract_x
_atom_site_fract_y
_atom_site_fract_z
Be1 0.0000 0.0000 0.0000
Ge1 0.0000 0.0000 0.5000
P1 0.2500 0.2500 0.2500
# distance to the lowest polymorph of the same formula: 0.900 eV per atom
# DFT formation energy: 14.4 kcal/mol of atoms

# 4
# Nd8Dy4Er3 | the Alexandria database | GGA-PBE | relaxed
data_Nd8Dy4Er3
_chemical_formula_sum 'Nd24 Dy12 Er9'
_cell_length_a 7.0164
_cell_length_b 7.0164
_cell_length_c 35.7996
_cell_angle_alpha 90.00
_cell_angle_beta 90.00
_cell_angle_gamma 120.00
_space_group_name_H-M_alt 'R -3 m'
_space_group_IT_number 166
_space_group_name_Hall '-R 3 2"'
loop_
_atom_site_label
_atom_site_fract_x
_atom_site_fract_y
_atom_site_fract_z
Nd1 0.0000 0.0000 0.2455
Nd2 0.0016 0.5008 0.7506
Dy1 0.0000 0.0000 0.0000
Dy2 0.0000 0.0000 0.3357
Dy3 0.0000 0.0000 0.5000
Er1 0.0000 0.5000 0.5000
# distance to the lowest polymorph of the same formula: 0.000 eV per atom
# DFT formation energy: 3.5 kcal/mol of atoms

# 5
# YLuMgZr | the Alexandria database | GGA-PBE | relaxed
data_YLuMgZr
_chemical_formula_sum 'Y4 Lu4 Mg4 Zr4'
_cell_length_a 7.5274
_cell_length_b 7.5274
_cell_length_c 7.5274
_cell_angle_alpha 90.00
_cell_angle_beta 90.00
_cell_angle_gamma 90.00
_space_group_name_H-M_alt 'F -4 3 m'
_space_group_IT_number 216
_space_group_name_Hall 'F -4 2 3'
loop_
_atom_site_label
_atom_site_fract_x
_atom_site_fract_y
_atom_site_fract_z
Y1 0.0000 0.0000 0.0000
Lu1 0.0000 0.0000 0.5000
Mg1 0.2500 0.2500 0.2500
Zr1 0.2500 0.2500 0.7500
# DFT formation energy: 3.1 kcal/mol of atoms

# 6
# Ho2Si2HgRh5 | the Alexandria database | GGA-PBE | relaxed
data_Ho2Si2HgRh5
_chemical_formula_sum 'Ho4 Si4 Hg2 Rh10'
_cell_length_a 9.7785
_cell_length_b 9.7785
_cell_length_c 3.5195
_cell_angle_alpha 90.00
_cell_angle_beta 90.00
_cell_angle_gamma 90.00
_space_group_name_H-M_alt 'P 4/m b m'
_space_group_IT_number 127
_space_group_name_Hall '-P 4 2ab'
loop_
_atom_site_label
_atom_site_fract_x
_atom_site_fract_y
_atom_site_fract_z
Ho1 0.1749 0.3251 0.0000
Si1 0.1235 0.6235 0.0000
Hg1 0.0000 0.0000 0.0000
Rh1 0.0000 0.5000 0.5000
Rh2 0.0697 0.7823 0.5000
# formation energy (no corrections): -890 meV per atom

# 7
# HoHfBeZn | the Alexandria database | GGA-PBE | relaxed
data_HoHfBeZn
_chemical_formula_sum 'Ho4 Hf4 Be4 Zn4'
_cell_length_a 6.6884
_cell_length_b 6.6884
_cell_length_c 6.6884
_cell_angle_alpha 90.00
_cell_angle_beta 90.00
_cell_angle_gamma 90.00
_space_group_name_H-M_alt 'F -4 3 m'
_space_group_IT_number 216
_space_group_name_Hall 'F -4 2 3'
loop_
_atom_site_label
_atom_site_fract_x
_atom_site_fract_y
_atom_site_fract_z
Ho1 0.0000 0.0000 0.0000
Hf1 0.0000 0.0000 0.5000
Be1 0.2500 0.2500 0.2500
Zn1 0.2500 0.2500 0.7500
# DFT formation energy: -0.6 kcal/mol of atoms

# 8
# Sc5ZnOs4 | the Alexandria database | GGA-PBE | relaxed
data_Sc5ZnOs4
_chemical_formula_sum 'Sc5 Zn1 Os4'
_cell_length_a 3.2440
_cell_length_b 3.2440
_cell_length_c 16.3062
_cell_angle_alpha 90.00
_cell_angle_beta 90.00
_cell_angle_gamma 90.00
_space_group_name_H-M_alt 'P 4/m m m'
_space_group_IT_number 123
_space_group_name_Hall '-P 4 2'
loop_
_atom_site_label
_atom_site_fract_x
_atom_site_fract_y
_atom_site_fract_z
Sc1 0.0000 0.0000 0.0000
Sc2 0.0000 0.0000 0.1955
Sc3 0.0000 0.0000 0.3883
Zn1 0.5000 0.5000 0.5000
Os1 0.5000 0.5000 0.0984
Os2 0.5000 0.5000 0.2975
# DFT formation energy: -8.9 kcal/mol of atoms

| no. | theoretical density (g/cm3) | calculated total energy (eV per atom) |
| --- | --- | --- |
| 1 | 11.11 | -5.570 |
| 2 | 5.57 | -3.701 |
| 3 | 4.09 | -4.165 |
| 4 | 7.53 | -4.530 |
| 5 | 5.91 | -5.147 |
| 6 | 10.87 | -6.596 |
| 7 | 9.28 | -4.908 |
| 8 | 10.17 | -8.169 |